1.
A PBEsol-optimized structure of K3TlCu, computed with SCAN.

The structure belongs to space group Pm-3m (No. 221); the cell edges are 6.095, 6.095 and 6.095 Å and the angles 90.00°, 90.00° and 90.00°. The asymmetric unit holds K at (0.000, 0.000, 0.500), Tl at (0.500, 0.500, 0.500) and Cu at (0.000, 0.000, 0.000).

The calculation puts the magnetic moment at 0.00 μB per formula unit. For the calculated formation energy, the calculation gives 0.31 eV per atom.

---

2.
A PBEsol-optimized structure of KTlCu2, computed with SCAN.

The structure belongs to space group Immm (No. 71); the cell edges are 4.730, 5.548 and 6.901 Å and the angles 90.00°, 90.00° and 90.00°. The asymmetric unit holds K at (0.000, 0.000, 0.000), Tl at (0.000, 0.000, 0.500) and Cu at (0.000, 0.500, 0.180).

The calculation puts the magnetic moment at 0.00 μB per formula unit. For the calculated formation energy, the calculation gives 0.46 eV per atom.

---

3.
A PBEsol-optimized structure of KTl2Cu, computed with SCAN.

The structure belongs to space group Immm (No. 71); the cell edges are 3.498, 5.782 and 10.492 Å and the angles 90.00°, 90.00° and 90.00°. The asymmetric unit holds K at (0.000, 0.000, 0.000), Tl at (0.000, 0.500, 0.199) and Cu at (0.000, 0.000, 0.500).

The calculation puts the magnetic moment at 0.00 μB per formula unit. For the calculated formation energy, the calculation gives 0.09 eV per atom.

---

4.
A PBEsol-optimized structure of KCuW, computed with SCAN.

The structure belongs to space group Imm2 (No. 44); the cell edges are 2.585, 3.972 and 12.607 Å and the angles 90.00°, 90.00° and 90.00°. The asymmetric unit holds K at (0.000, 0.000, 0.000), Cu at (0.000, 0.000, 0.703) and W at (0.000, 0.000, 0.275).

The calculation puts the magnetic moment at 0.00 μB per formula unit. For the calculated formation energy, the calculation gives 1.05 eV per atom.

---

Short version: D(E_F) = 3.7, 3.3, 3.9, 3.5 states/eV per cell, in the order given.